Entry 1:
LiTh2Te5 | PBE | relaxed

Calculated values
space group: P4/mmm
formation energy (no corrections): -0.63 eV/atom
calculated volume: 29.3 A^3/atom

a b c (Å): 4.5164 7.2080 7.2080
angles (deg): 90.00 90.00 90.00
Fractional positions:
Li  0.0000  0.0000  0.0000
Th  0.5000  0.5000  0.0000
Th  0.5000  0.0000  0.5000
Te  0.0000  0.7237  0.7237
Te  0.0000  0.2763  0.7237
Te  0.0000  0.7237  0.2763
Te  0.5000  0.0000  0.0000
Te  0.0000  0.2763  0.2763



Entry 2:
LaTlTc2 | PBE | relaxed

Calculated values
space group: F-43m
formation energy from the elements: 619 meV/atom
calculated volume: 20.8 A^3/atom

a b c (Å): 4.9037 4.9037 4.9037
angles (deg): 60.00 60.00 60.00
Fractional positions:
La  0.5000  0.5000  0.5000
Tc  0.0000  0.0000  0.0000
Tc  0.2500  0.2500  0.2500
Tl  0.7500  0.7500  0.7500



Entry 3:
InBiN | PBE | relaxed

Calculated values
space group: C2/m
formation energy (no corrections): 0.21 eV/atom
calculated volume: 22.6 A^3/atom

a b c (Å): 3.5221 3.5221 13.2357
angles (deg): 105.10 105.10 59.99
Fractional positions:
N  0.8305  0.8305  0.3387
N  0.9227  0.9227  0.9687
In  0.4505  0.4505  0.2671
In  0.3027  0.3027  0.0403
Bi  0.9455  0.9455  0.5144
Bi  0.8076  0.8076  0.7929



Entry 4:
RbPa2S7 | PBE | relaxed

Calculated values
space group: Cmmm
formation energy (no corrections): -1.12 eV/atom
calculated volume: 27.3 A^3/atom

a b c (Å): 5.2433 7.5428 7.5428
angles (deg): 113.69 90.00 90.00
Fractional positions:
Rb  0.0000  0.0000  0.0000
Pa  0.5000  0.7150  0.2850
Pa  0.5000  0.2850  0.7150
S  0.0000  0.7204  0.2796
S  0.0000  0.2796  0.7204
S  0.5000  0.0915  0.3357
S  0.5000  0.9085  0.6643
S  0.5000  0.3357  0.0915
S  0.5000  0.6643  0.9085
S  0.5000  0.5000  0.5000



Entry 5:
Ti2MnTcS | PBE | relaxed

Calculated values
space group: P4/mmm
formation energy (no corrections): 0.02 eV/atom
calculated volume: 16.1 A^3/atom

a b c (Å): 4.4530 4.0720 4.4530
angles (deg): 90.00 90.00 90.00
Site moments in Bohr magnetons follow the coordinates.
Fractional positions:
S  0.0000  0.0000  0.0000  -0.02
Mn  0.0000  0.5000  0.0000  2.46
Tc  0.5000  0.5000  0.5000  -0.42
Ti  0.0000  0.0000  0.5000  0.02
Ti  0.5000  0.0000  0.0000  0.04



Entry 6:
InRhIO2 | PBE | relaxed

Calculated values
space group: P4/mmm
formation energy (no corrections): -0.01 eV/atom
calculated volume: 19.1 A^3/atom

a b c (Å): 4.1580 4.1580 5.5187
angles (deg): 90.00 90.00 90.00
Site moments in Bohr magnetons follow the coordinates.
Fractional positions:
I  0.0000  0.0000  0.5000  0.03
Rh  0.0000  0.0000  0.0000  1.02
O  0.0000  0.5000  0.0000  0.37
O  0.5000  0.0000  0.0000  0.37
In  0.5000  0.5000  0.5000  0.00



Entry 7:
Sr2CdHg3 | PBE | relaxed

Calculated values
space group: Fmmm
formation energy from the elements: -457 meV/atom
calculated volume: 29.7 A^3/atom

a b c (Å): 6.4400 6.4400 9.6971
angles (deg): 104.65 104.65 103.78
Fractional positions:
Sr  0.2500  0.7500  0.5000
Sr  0.7533  0.7533  0.0000
Sr  0.7500  0.2500  0.5000
Sr  0.2467  0.2467  0.0000
Cd  0.6666  0.6666  0.3332
Cd  0.3334  0.3334  0.6669
Hg  0.3364  0.8314  0.1678
Hg  0.1686  0.6636  0.8322
Hg  0.6636  0.1686  0.8322
Hg  0.8314  0.3364  0.1678
Hg  0.1683  0.1683  0.3365
Hg  0.8317  0.8317  0.6635



Entry 8:
CaGaAsO6 | PBE | relaxed

Calculated values
space group: P-31c
formation energy (no corrections): -1.53 eV/atom
calculated volume: 12.6 A^3/atom

a b c (Å): 5.0854 5.0854 10.0939
angles (deg): 90.00 90.00 120.00
Site moments in Bohr magnetons follow the coordinates.
Fractional positions:
Ca  0.0000  0.0000  0.0000  0.00
Ca  0.0000  0.0000  0.5000  0.00
Ga  0.6667  0.3333  0.2500  -0.01
Ga  0.3333  0.6667  0.7500  -0.01
As  0.3333  0.6667  0.2500  -0.03
As  0.6667  0.3333  0.7500  -0.03
O  0.6233  0.6467  0.1470  0.28
O  0.0235  0.3767  0.1470  0.28
O  0.3767  0.0235  0.6470  0.28
O  0.9765  0.6233  0.8530  0.28
O  0.3533  0.3767  0.3530  0.28
O  0.0235  0.6467  0.3530  0.28
O  0.6467  0.0235  0.8530  0.28
O  0.6233  0.9765  0.3530  0.28
O  0.9765  0.3533  0.6470  0.28
O  0.3533  0.9765  0.1470  0.28
O  0.6467  0.6233  0.6470  0.28
O  0.3767  0.3533  0.8530  0.28



Entry 9:
YTh2Co | PBE | relaxed

Calculated values
space group: P4/mmm
formation energy from the elements: 1 meV/atom
calculated volume: 26.9 A^3/atom

a b c (Å): 3.5328 3.5328 8.6290
angles (deg): 90.00 90.00 90.00
Fractional positions:
Y  0.5000  0.5000  0.5000
Co  0.5000  0.5000  0.0000
Th  0.0000  0.0000  0.8143
Th  0.0000  0.0000  0.1857



Entry 10:
Si2AuI8 | PBE | relaxed

Calculated values
space group: C2/m
formation energy (no corrections): -0.13 eV/atom
calculated volume: 49.6 A^3/atom

a b c (Å): 7.4007 8.8460 8.8460
angles (deg): 70.59 90.80 90.80
Fractional positions:
Si  0.6675  0.8126  0.8126
Si  0.3325  0.1874  0.1874
Au  0.0000  0.0000  0.0000
I  0.1698  0.3263  0.9226
I  0.8302  0.0774  0.6737
I  0.3477  0.8656  0.8656
I  0.6523  0.1344  0.1344
I  0.1698  0.9226  0.3263
I  0.8302  0.6737  0.0774
I  0.6824  0.6409  0.6409
I  0.3176  0.3591  0.3591



Entry 11:
NdSm2Dy6Ho | PBE | relaxed

Calculated values
space group: C2/c
formation energy from the elements: 117 meV/atom
calculated volume: 32.6 A^3/atom

a b c (Å): 9.6606 8.7922 8.7922
angles (deg): 117.95 94.23 94.23
Fractional positions:
Nd  0.2500  0.9794  0.0206
Nd  0.7500  0.0206  0.9794
Sm  0.4562  0.8035  0.7007
Sm  0.0438  0.2993  0.1965
Sm  0.5438  0.1965  0.2993
Sm  0.9562  0.7007  0.8035
Dy  0.0570  0.1232  0.7443
Dy  0.4430  0.2557  0.8768
Dy  0.9430  0.8768  0.2557
Dy  0.5570  0.7443  0.1232
Dy  0.3148  0.9806  0.4297
Dy  0.1852  0.5703  0.0194
Dy  0.6852  0.0194  0.5703
Dy  0.8148  0.4297  0.9806
Dy  0.1194  0.7064  0.4927
Dy  0.3806  0.5073  0.2936
Dy  0.8806  0.2936  0.5073
Dy  0.6194  0.4927  0.7064
Ho  0.2500  0.4081  0.5920
Ho  0.7500  0.5920  0.4081



Entry 12:
HPtI3 | PBE | relaxed

Calculated values
space group: P-1
calculated volume: 32.5 A^3/atom
electronic total energy: -0.2065 Ry per atom

a b c (Å): 7.9969 8.0025 8.0496
angles (deg): 84.59 113.84 133.96
Fractional positions:
H  0.3768  0.7822  0.0940
H  0.6865  0.2811  0.9060
Pt  0.5317  0.0317  0.0000
Pt  0.0316  0.5316  0.0000
I  0.0300  0.3001  0.7706
I  0.0333  0.7633  0.2295
I  0.5297  0.8004  0.7705
I  0.0441  0.2828  0.2597
I  0.5336  0.2630  0.2295
I  0.0192  0.7805  0.7403



Entry 13:
CrCdOs2 | PBE | relaxed

Calculated values
space group: Cm
formation energy from the elements: 520 meV/atom
calculated volume: 15.5 A^3/atom

a b c (Å): 4.8181 4.8181 4.8608
angles (deg): 79.29 79.29 34.05
Site moments in Bohr magnetons follow the coordinates.
Fractional positions:
Cd  0.4989  0.4989  0.5122  0.01
Cr  0.7361  0.7361  0.7731  2.11
Os  0.0028  0.0028  0.0148  -0.09
Os  0.2622  0.2622  0.1998  -0.19



Entry 14:
TbDyCoNi | PBE | relaxed

Calculated values
space group: Amm2
formation energy from the elements: -308 meV/atom
calculated volume: 19.9 A^3/atom

a b c (Å): 3.8420 3.9505 5.5845
angles (deg): 90.00 110.12 90.00
Fractional positions:
Tb  0.1428  0.0000  0.2856
Dy  0.8593  0.5000  0.7187
Co  0.4306  0.0000  0.8612
Ni  0.5672  0.5000  0.1345



Entry 15:
LaY2Mg | PBE | relaxed

Calculated values
space group: Immm
formation energy from the elements: -31 meV/atom
calculated volume: 31.8 A^3/atom

a b c (Å): 6.7268 6.7268 5.6918
angles (deg): 65.00 65.00 33.33
Fractional positions:
Y  0.0237  0.0237  0.9763
Y  0.4763  0.4763  0.5237
Mg  0.7500  0.7500  0.7500
La  0.2500  0.2500  0.2500



Entry 16:
TeHF | PBE | relaxed

Calculated values
space group: P1
calculated volume: 17.9 A^3/atom
electronic total energy: -0.2463 Ry per atom

a b c (Å): 3.2040 4.4969 4.5304
angles (deg): 106.66 108.10 107.54
Fractional positions:
Te  0.4886  0.7135  0.5109
H  0.4849  0.9483  0.2803
F  0.9883  0.2431  0.9817



Entry 17:
Gd2CuSb | PBE | relaxed

Calculated values
space group: P4/mmm
formation energy (no corrections): -0.58 eV/atom
calculated volume: 24.6 A^3/atom

a b c (Å): 3.9483 4.9934 4.9934
angles (deg): 90.00 90.00 90.00
Site moments in Bohr magnetons follow the coordinates.
Fractional positions:
Sb  0.5000  0.5000  0.5000  -0.06
Gd  0.0000  0.0000  0.5000  7.23
Gd  0.0000  0.5000  0.0000  7.23
Cu  0.5000  0.0000  0.0000  0.02



Entry 18:
CaTbSmGd | PBE | relaxed

Calculated values
space group: F-43m
formation energy from the elements: 145 meV/atom
calculated volume: 34.2 A^3/atom

a b c (Å): 5.7862 5.7862 5.7862
angles (deg): 60.00 60.00 60.00
Site moments in Bohr magnetons follow the coordinates.
Fractional positions:
Ca  0.2500  0.2500  0.2500  0.01
Gd  0.7500  0.7500  0.7500  7.24
Tb  0.0000  0.0000  0.0000  0.12
Sm  0.5000  0.5000  0.5000  0.09



Entry 19:
Na3Sr4Li | PBE | relaxed

Calculated values
space group: Pmm2
formation energy from the elements: 41 meV/atom
calculated volume: 44.5 A^3/atom

a b c (Å): 4.3114 5.6714 14.5664
angles (deg): 90.00 90.00 90.00
Fractional positions:
Na  0.0000  0.5000  0.5662
Na  0.0000  0.0000  0.4313
Na  0.5000  0.0000  0.9388
Sr  0.5000  0.5000  0.3229
Sr  0.0000  0.5000  0.8465
Sr  0.0000  0.0000  0.1547
Sr  0.5000  0.0000  0.6722
Li  0.5000  0.5000  0.0675



Entry 20:
PmTm2NpN4 | PBE | relaxed

Calculated values
space group: P2/m
formation energy (no corrections): -1.52 eV/atom
calculated volume: 14.7 A^3/atom

a b c (Å): 3.4595 5.9935 5.9824
angles (deg): 108.98 90.00 90.00
Site moments in Bohr magnetons follow the coordinates.
Fractional positions:
Pm  0.5000  0.5000  0.0000  0.07
Tm  0.5000  0.0000  0.5000  0.04
Tm  0.0000  0.5000  0.5000  0.09
Np  0.0000  0.0000  0.0000  3.04
N  0.5000  0.2420  0.2540  -0.09
N  0.5000  0.7580  0.7460  -0.09
N  0.0000  0.2298  0.7482  -0.06
N  0.0000  0.7702  0.2518  -0.06



Entry 21:
TbPuTcOs | PBE | relaxed

Calculated values
space group: F-43m
formation energy from the elements: 16 meV/atom
calculated volume: 19.6 A^3/atom

a b c (Å): 4.8004 4.8004 4.8004
angles (deg): 60.00 60.00 60.00
Site moments in Bohr magnetons follow the coordinates.
Fractional positions:
Tb  0.5000  0.5000  0.5000  0.00
Os  0.2500  0.2500  0.2500  -0.37
Tc  0.7500  0.7500  0.7500  -0.62
Pu  0.0000  0.0000  0.0000  4.65



Entry 22:
CsRbO2F | PBE | relaxed

Calculated values
space group: P4/mmm
formation energy (no corrections): -0.69 eV/atom
calculated volume: 21.8 A^3/atom

a b c (Å): 4.4383 4.4383 5.5214
angles (deg): 90.00 90.00 90.00
Fractional positions:
Cs  0.0000  0.0000  0.0000
O  0.0000  0.5000  0.0000
O  0.5000  0.0000  0.0000
Rb  0.5000  0.5000  0.5000
F  0.0000  0.0000  0.5000



Entry 23:
VRh | PBE | relaxed

Calculated values
space group: P4_2/mnm
formation energy from the elements: 198 meV/atom
calculated volume: 15.2 A^3/atom

a b c (Å): 5.0232 5.0232 4.8197
angles (deg): 90.00 90.00 90.00
Site moments in Bohr magnetons follow the coordinates.
Fractional positions:
V  0.3087  0.6913  0.0000  0.43
V  0.8087  0.8087  0.5000  0.43
V  0.1913  0.1913  0.5000  0.43
V  0.6913  0.3087  0.0000  0.43
Rh  0.1940  0.1940  0.0000  -0.02
Rh  0.6940  0.3060  0.5000  -0.02
Rh  0.3060  0.6940  0.5000  -0.02
Rh  0.8060  0.8060  0.0000  -0.02



Entry 24:
Er7ScIn4 | PBE | relaxed

Calculated values
space group: C2/m
formation energy from the elements: -80 meV/atom
calculated volume: 28.2 A^3/atom

a b c (Å): 5.6030 8.9873 7.8754
angles (deg): 69.36 69.16 71.84
Fractional positions:
Er  0.7963  0.8777  0.5297
Er  0.2037  0.1223  0.4703
Er  0.0738  0.5847  0.2676
Er  0.9262  0.4153  0.7324
Er  0.2483  0.7118  0.7915
Er  0.5000  0.0000  0.0000
Er  0.7517  0.2882  0.2085
Sc  0.0000  0.0000  0.0000
In  0.5484  0.2947  0.6084
In  0.4516  0.7053  0.3916
In  0.6777  0.6564  0.9881
In  0.3223  0.3436  0.0119



Entry 25:
KCaN2 | PBE | relaxed

Calculated values
space group: I-42d
formation energy (no corrections): 0.78 eV/atom
calculated volume: 21.4 A^3/atom

a b c (Å): 4.7153 4.7153 8.3923
angles (deg): 73.68 73.68 90.00
Site moments in Bohr magnetons follow the coordinates.
Fractional positions:
Ca  0.0000  0.0000  0.0000  0.00
Ca  0.7500  0.2500  0.5000  0.00
K  0.5000  0.5000  0.0000  0.00
K  0.2500  0.7500  0.5000  0.00
N  0.8105  0.1250  0.2500  0.26
N  0.9395  0.6250  0.2500  0.27
N  0.3750  0.1895  0.7500  0.23
N  0.8750  0.0605  0.7500  0.24